Pr2Hg4Pb3 | PBE-GGA | relaxed

```
18
Lattice="6.554 0.000 0.000 0.000 9.610 0.000 -3.277 0.000 8.237" Properties=species:S:1:pos:R:3 pbc="T T T"
Pr 0.000 5.370 1.930
Pr 3.277 4.240 6.306
Pr 0.000 0.565 6.306
Pr 3.277 9.045 1.930
Hg 1.639 7.207 7.777
Hg 4.915 2.402 0.460
Hg 1.638 2.402 0.460
Hg -1.638 7.207 7.777
Hg 0.000 9.182 2.974
Hg 3.277 0.428 5.263
Hg 0.000 4.377 5.263
Hg 3.277 5.233 2.974
Pb 0.000 0.000 0.000
Pb 3.277 4.805 0.000
Pb 1.638 7.207 4.700
Pb 4.915 2.402 3.537
Pb 1.638 2.402 3.537
Pb -1.638 7.207 4.700
```

Mass density in kg/m3: 10920
Excess energy over the best structure of this formula in the dataset in meV/atom: 103
Uncorrected energy in eV/atom: -2.639
Energy relative to the elements in meV/atom: -207